(1)
Entry from Alexandria: a geometry-optimized TaTiAsBr2 structure (PBE).

```
TaTiAsBr2
1.0
4.866 0.000 0.000
0.000 4.866 0.000
0.000 0.000 5.259
Ta Ti As Br
1 1 1 2
Direct
0.000 0.000 0.000 Ta
0.500 0.500 0.500 Ti
0.500 0.500 0.000 As
0.000 0.500 0.500 Br
0.500 0.000 0.500 Br
```

As for the polymorph energy (0 for the lowest one): 0.98 kcal/mol of atoms. Its uncorrected formation energy is 3.216 eV/f.u. The calculation puts the calculated density at 6.182 g/cm3.



(2)
Entry from Alexandria: a geometry-optimized TaTiAs2Br structure (PBE).

```
TaTiAs2Br
1.0
5.004 0.000 0.000
0.000 5.004 0.000
0.000 0.000 5.109
Ta Ti As Br
1 1 2 1
Direct
0.000 0.000 0.000 Ta
0.500 0.500 0.500 Ti
0.000 0.500 0.000 As
0.500 0.000 0.000 As
0.000 0.000 0.500 Br
```

As for the polymorph energy (0 for the lowest one): 0.00 kcal/mol of atoms. Its uncorrected formation energy is 2.290 eV/f.u. The calculation puts the calculated density at 5.952 g/cm3.



(3)
Entry from Alexandria: a geometry-optimized TaTiAs2Br structure (PBE).

```
TaTiAs2Br
1.0
4.896 0.000 0.000
0.000 4.896 0.000
0.000 0.000 4.844
Ta Ti As Br
1 1 2 1
Direct
0.000 0.000 0.000 Ta
0.500 0.500 0.500 Ti
0.000 0.500 0.500 As
0.500 0.000 0.500 As
0.500 0.500 0.000 Br
```

As for the polymorph energy (0 for the lowest one): 5.59 kcal/mol of atoms. Its uncorrected formation energy is 3.502 eV/f.u. The calculation puts the calculated density at 6.557 g/cm3.



(4)
Entry from Alexandria: a geometry-optimized TaTlAsBr2 structure (PBE).

```
TaTlAsBr2
1.0
5.474 0.000 0.000
0.000 5.474 0.000
0.000 0.000 5.454
Ta Tl As Br
1 1 1 2
Direct
0.000 0.000 0.000 Ta
0.500 0.500 0.500 Tl
0.500 0.500 0.000 As
0.000 0.500 0.500 Br
0.500 0.000 0.500 Br
```

As for the polymorph energy (0 for the lowest one): 33.38 kcal/mol of atoms. Its uncorrected formation energy is 6.372 eV/f.u. The calculation puts the calculated density at 6.299 g/cm3.



(5)
Entry from Alexandria: a geometry-optimized TaTlAs2Br structure (PBE).

```
TaTlAs2Br
1.0
5.011 0.000 0.000
0.000 5.011 0.000
0.000 0.000 5.491
Ta Tl As Br
1 1 2 1
Direct
0.000 0.000 0.000 Ta
0.500 0.500 0.500 Tl
0.000 0.500 0.000 As
0.500 0.000 0.000 As
0.000 0.000 0.500 Br
```

As for the polymorph energy (0 for the lowest one): 0.00 kcal/mol of atoms. Its uncorrected formation energy is -0.301 eV/f.u. The calculation puts the calculated density at 7.406 g/cm3.



(6)
Entry from Alexandria: a geometry-optimized TaTlAsBr2 structure (PBE).

```
TaTlAsBr2
1.0
5.294 0.000 0.000
0.000 5.294 0.000
0.000 0.000 5.048
Ta Tl As Br
1 1 1 2
Direct
0.000 0.000 0.000 Ta
0.500 0.500 0.500 Tl
0.000 0.000 0.500 As
0.000 0.500 0.000 Br
0.500 0.000 0.000 Br
```

As for the polymorph energy (0 for the lowest one): 0.00 kcal/mol of atoms. Its uncorrected formation energy is -0.866 eV/f.u. The calculation puts the calculated density at 7.278 g/cm3.



(7)
Entry from Alexandria: a geometry-optimized TaTlAs2Br structure (PBE).

```
TaTlAs2Br
1.0
5.211 0.000 0.000
0.000 5.211 0.000
0.000 0.000 5.418
Ta Tl As Br
1 1 2 1
Direct
0.000 0.000 0.000 Ta
0.500 0.500 0.500 Tl
0.000 0.500 0.500 As
0.500 0.000 0.500 As
0.500 0.500 0.000 Br
```

As for the polymorph energy (0 for the lowest one): 36.93 kcal/mol of atoms. Its uncorrected formation energy is 7.706 eV/f.u. The calculation puts the calculated density at 6.944 g/cm3.



(8)
Entry from Alexandria: a geometry-optimized TaVAsBr2 structure (PBE).

```
TaVAsBr2
1.0
5.103 0.000 0.000
0.000 5.103 0.000
0.000 0.000 5.122
Ta V As Br
1 1 1 2
Direct
0.000 0.000 0.000 Ta
0.500 0.500 0.500 V
0.000 0.000 0.500 As
0.000 0.500 0.000 Br
0.500 0.000 0.000 Br
```

As for the polymorph energy (0 for the lowest one): 0.00 kcal/mol of atoms. Its uncorrected formation energy is 2.951 eV/f.u. The calculation puts the calculated density at 5.810 g/cm3.